Here is a crystal of ScMnIn3 relaxed with PBEsol from Alexandria. Energies are from meta-GGA SCAN.

Values from the calculation:
- Density of states at the Fermi level: 0.39 states/eV per atom
- SG: Pm-3m (221)
- Total magnetic moment: 2.50 μB/f.u.
- Formation energy: 0.109 eV per atom

Cell lengths 4.8960, 4.8960, 4.8960 Å; angles 90.00, 90.00, 90.00 degrees
Closest atoms and distances in Å follow each position.
Fractional coordinates of all 5 atoms:
Sc (0.5000, 0.5000, 0.5000)  12 In 3.46
Mn (0.0000, 0.0000, 0.0000)  6 In 2.45
In (0.0000, 0.5000, 0.0000)  2 Mn 2.45
In (0.0000, 0.0000, 0.5000)  2 Mn 2.45
In (0.5000, 0.0000, 0.0000)  2 Mn 2.45

Here is a crystal of NbMoPd3 relaxed with PBEsol from Alexandria. Energies are from meta-GGA SCAN.

Values from the calculation:
- Density of states at the Fermi level: 0.58 states/eV per atom
- SG: Pm-3m (221)
- Total magnetic moment: 2.11 μB/f.u.
- Formation energy: 1.293 eV per atom

Cell lengths 4.6443, 4.6443, 4.6443 Å; angles 90.00, 90.00, 90.00 degrees
Closest atoms and distances in Å follow each position.
Fractional coordinates of all 5 atoms:
Mo (0.0000, 0.0000, 0.0000)  6 Pd 2.32
Nb (0.5000, 0.5000, 0.5000)  12 Pd 3.28
Pd (0.0000, 0.5000, 0.0000)  2 Mo 2.32
Pd (0.0000, 0.0000, 0.5000)  2 Mo 2.32
Pd (0.5000, 0.0000, 0.0000)  2 Mo 2.32

Here is a crystal of LiZrCd2 relaxed with PBEsol from Alexandria. Energies are from meta-GGA SCAN.

Values from the calculation:
- Density of states at the Fermi level: 0.61 states/eV per atom
- SG: Pmmm (47)
- Total magnetic moment: 0.27 μB/f.u.
- Formation energy: -0.241 eV per atom

Cell lengths 3.2175, 3.0732, 7.5784 Å; angles 90.00, 90.02, 90.00 degrees
Closest atoms and distances in Å follow each position.
Fractional coordinates of all 4 atoms:
Li (0.5000, 0.5000, 0.0000)  8 Cd 2.78, 2 Li 3.07
Zr (0.5000, 0.5000, 0.5000)  8 Cd 3.07, 4 Zr 3.07-3.22
Cd (0.0000, 0.0000, 0.7794)  4 Li 2.78, 4 Zr 3.07, 2 Cd 3.07
Cd (0.0000, 0.0000, 0.2206)  4 Li 2.78, 4 Zr 3.07, 2 Cd 3.07

Here is a crystal of Co4TeO8 relaxed with PBEsol from Alexandria. Energies are from meta-GGA SCAN.

Values from the calculation:
- DFT total energy: -0.485 hartree per atom
- Density of states at the Fermi level: 0.21 states/eV per atom
- SG: P-1 (2)
- Total magnetic moment: 1.99 μB/f.u.

Cell lengths 4.8439, 7.9785, 5.8160 Å; angles 111.23, 90.19, 133.74 degrees
Closest atoms and distances in Å follow each position.
Fractional coordinates of all 13 atoms:
Co (0.0000, 0.5000, 0.5000)  2 O 1.92
Co (0.5000, 0.5000, 0.5000)  6 O 1.88-1.90
Co (0.0000, 0.0000, 0.0000)  6 O 1.88-1.99
Co (0.0000, 0.0000, 0.5000)  6 O 1.88-1.99
Te (0.5000, 0.5000, 0.0000)  6 O 1.98-2.03
O (0.3691, 0.1770, 0.8389)  2 Co 1.88, 1 Te 1.98
O (0.6309, 0.8230, 0.1611)  2 Co 1.88, 1 Te 1.98
O (0.0936, 0.3095, 0.1690)  2 Co 1.90-1.99, 1 Te 2.03
O (0.9064, 0.6905, 0.8310)  2 Co 1.90-1.99, 1 Te 2.03
O (0.5929, 0.7951, 0.6471)  4 Co 1.88-1.96
O (0.0938, 0.3100, 0.6396)  2 Co 1.90-1.99, 1 Te 2.03
O (0.4071, 0.2049, 0.3529)  4 Co 1.88-1.96
O (0.9062, 0.6900, 0.3604)  2 Co 1.90-1.99, 1 Te 2.03

Here is a crystal of La2TcAu relaxed with PBEsol from Alexandria. Energies are from meta-GGA SCAN.

Values from the calculation:
- Density of states at the Fermi level: 0.70 states/eV per atom
- SG: P4/mmm (123)
- Total magnetic moment: 0.00 μB/f.u.
- Formation energy: -0.288 eV per atom

Cell lengths 3.5925, 5.1049, 5.1049 Å; angles 90.00, 90.00, 90.00 degrees
Closest atoms and distances in Å follow each position.
Fractional coordinates of all 4 atoms:
Au (0.5000, 0.0000, 0.0000)  8 La 3.12
La (0.0000, 0.0000, 0.5000)  4 Tc 3.12, 4 Au 3.12
La (0.0000, 0.5000, 0.0000)  4 Tc 3.12, 4 Au 3.12
Tc (0.5000, 0.5000, 0.5000)  8 La 3.12

Here is a crystal of Ca4SiP4 relaxed with PBEsol from Alexandria. Energies are from meta-GGA SCAN.

Values from the calculation:
- DFT total energy: -0.413 hartree per atom
- SG: P-43n (218)
- Total magnetic moment: 0.00 μB/f.u.

Cell lengths 11.7537, 11.7537, 11.7537 Å; angles 90.00, 90.00, 90.00 degrees
Closest atoms and distances in Å follow each position.
Fractional coordinates of all 72 atoms:
Ca (0.3545, 0.3545, 0.3545)  6 P 2.91-3.06, 1 Si 2.96
Ca (0.6455, 0.6455, 0.3545)  6 P 2.91-3.06, 1 Si 2.96
Ca (0.6455, 0.3545, 0.6455)  6 P 2.91-3.06, 1 Si 2.96
Ca (0.8545, 0.8545, 0.8545)  6 P 2.91-3.06, 1 Si 2.96
Ca (0.3545, 0.6455, 0.6455)  6 P 2.91-3.06, 1 Si 2.96
Ca (0.1455, 0.1455, 0.8545)  6 P 2.91-3.06, 1 Si 2.96
Ca (0.8545, 0.1455, 0.1455)  6 P 2.91-3.06, 1 Si 2.96
Ca (0.1455, 0.8545, 0.1455)  6 P 2.91-3.06, 1 Si 2.96
Ca (0.0960, 0.1335, 0.3550)  6 P 2.88-3.07, 1 Si 2.94
Ca (0.9040, 0.8665, 0.3550)  6 P 2.88-3.07, 1 Si 2.94
Ca (0.9040, 0.1335, 0.6450)  6 P 2.88-3.07, 1 Si 2.94
Ca (0.3550, 0.0960, 0.1335)  6 P 2.88-3.07, 1 Si 2.94
Ca (0.6335, 0.5960, 0.8550)  6 P 2.88-3.07, 1 Si 2.94
Ca (0.0960, 0.8665, 0.6450)  6 P 2.88-3.07, 1 Si 2.94
Ca (0.3550, 0.9040, 0.8665)  6 P 2.88-3.07, 1 Si 2.94
Ca (0.3665, 0.4040, 0.8550)  6 P 2.88-3.07, 1 Si 2.94
Ca (0.6450, 0.9040, 0.1335)  6 P 2.88-3.07, 1 Si 2.94
Ca (0.6335, 0.4040, 0.1450)  6 P 2.88-3.07, 1 Si 2.94
Ca (0.6450, 0.0960, 0.8665)  6 P 2.88-3.07, 1 Si 2.94
Ca (0.3665, 0.5960, 0.1450)  6 P 2.88-3.07, 1 Si 2.94
Ca (0.1335, 0.3550, 0.0960)  6 P 2.88-3.07, 1 Si 2.94
Ca (0.5960, 0.8550, 0.6335)  6 P 2.88-3.07, 1 Si 2.94
Ca (0.1335, 0.6450, 0.9040)  6 P 2.88-3.07, 1 Si 2.94
Ca (0.4040, 0.1450, 0.6335)  6 P 2.88-3.07, 1 Si 2.94
Ca (0.8665, 0.6450, 0.0960)  6 P 2.88-3.07, 1 Si 2.94
Ca (0.5960, 0.1450, 0.3665)  6 P 2.88-3.07, 1 Si 2.94
Ca (0.8665, 0.3550, 0.9040)  6 P 2.88-3.07, 1 Si 2.94
Ca (0.4040, 0.8550, 0.3665)  6 P 2.88-3.07, 1 Si 2.94
Ca (0.8550, 0.6335, 0.5960)  6 P 2.88-3.07, 1 Si 2.94
Ca (0.8550, 0.3665, 0.4040)  6 P 2.88-3.07, 1 Si 2.94
Ca (0.1450, 0.3665, 0.5960)  6 P 2.88-3.07, 1 Si 2.94
Ca (0.1450, 0.6335, 0.4040)  6 P 2.88-3.07, 1 Si 2.94
Si (0.2500, 0.0000, 0.5000)  4 P 2.25
Si (0.7500, 0.0000, 0.5000)  4 P 2.25
Si (0.5000, 0.2500, 0.0000)  4 P 2.25
Si (0.5000, 0.7500, 0.0000)  4 P 2.25
Si (0.0000, 0.5000, 0.2500)  4 P 2.25
Si (0.0000, 0.5000, 0.7500)  4 P 2.25
Si (0.0000, 0.0000, 0.0000)  4 P 2.25
Si (0.5000, 0.5000, 0.5000)  4 P 2.25
P (0.1083, 0.3812, 0.3544)  1 Si 2.25
P (0.8917, 0.6188, 0.3544)  1 Si 2.25
P (0.8917, 0.3812, 0.6456)  1 Si 2.25
P (0.3544, 0.1083, 0.3812)  1 Si 2.25
P (0.8812, 0.6083, 0.8544)  1 Si 2.25
P (0.1083, 0.6188, 0.6456)  1 Si 2.25
P (0.3544, 0.8917, 0.6188)  1 Si 2.25
P (0.1188, 0.3917, 0.8544)  1 Si 2.25
P (0.6456, 0.8917, 0.3812)  1 Si 2.25
P (0.8812, 0.3917, 0.1456)  1 Si 2.25
P (0.6456, 0.1083, 0.6188)  1 Si 2.25
P (0.1188, 0.6083, 0.1456)  1 Si 2.25
P (0.3812, 0.3544, 0.1083)  1 Si 2.25
P (0.6083, 0.8544, 0.8812)  1 Si 2.25
P (0.3812, 0.6456, 0.8917)  1 Si 2.25
P (0.3917, 0.1456, 0.8812)  1 Si 2.25
P (0.6188, 0.6456, 0.1083)  1 Si 2.25
P (0.6083, 0.1456, 0.1188)  1 Si 2.25
P (0.6188, 0.3544, 0.8917)  1 Si 2.25
P (0.3917, 0.8544, 0.1188)  1 Si 2.25
P (0.8544, 0.8812, 0.6083)  1 Si 2.25
P (0.8544, 0.1188, 0.3917)  1 Si 2.25
P (0.1456, 0.1188, 0.6083)  1 Si 2.25
P (0.1456, 0.8812, 0.3917)  1 Si 2.25
P (0.1103, 0.1103, 0.1103)  1 Si 2.25
P (0.8897, 0.8897, 0.1103)  1 Si 2.25
P (0.8897, 0.1103, 0.8897)  1 Si 2.25
P (0.6103, 0.6103, 0.6103)  1 Si 2.25
P (0.1103, 0.8897, 0.8897)  1 Si 2.25
P (0.3897, 0.3897, 0.6103)  1 Si 2.25
P (0.6103, 0.3897, 0.3897)  1 Si 2.25
P (0.3897, 0.6103, 0.3897)  1 Si 2.25

Here is a crystal of NaReBPd2 relaxed with PBEsol from Alexandria. Energies are from meta-GGA SCAN.

Values from the calculation:
- Density of states at the Fermi level: 0.42 states/eV per atom
- SG: P4/mmm (123)
- Total magnetic moment: 2.84 μB/f.u.
- Formation energy: 0.904 eV per atom

Cell lengths 4.0786, 4.0786, 4.4113 Å; angles 90.00, 90.00, 90.00 degrees
Closest atoms and distances in Å follow each position.
Fractional coordinates of all 5 atoms:
Re (0.5000, 0.5000, 0.5000)  4 Na 2.88, 8 Pd 3.00
B (0.0000, 0.0000, 0.0000)  4 Pd 2.04, 2 Na 2.21
Pd (0.0000, 0.5000, 0.0000)  2 B 2.04
Pd (0.5000, 0.0000, 0.0000)  2 B 2.04
Na (0.0000, 0.0000, 0.5000)  2 B 2.21

Here is a crystal of Al2CrSb relaxed with PBEsol from Alexandria. Energies are from meta-GGA SCAN.

Values from the calculation:
- DFT total energy: -0.643 hartree per atom
- Density of states at the Fermi level: 0.47 states/eV per atom
- SG: I-42d (122)
- Total magnetic moment: 3.92 μB/f.u.

Cell lengths 5.4925, 6.0344, 6.0344 Å; angles 78.05, 62.93, 62.93 degrees
Closest atoms and distances in Å follow each position.
Fractional coordinates of all 8 atoms:
Sb (0.0000, 0.0000, 0.0000)  2 Cr 2.75, 4 Al 2.80
Sb (0.7500, 0.5000, 0.5000)  2 Cr 2.75, 4 Al 2.80
Al (0.6197, 0.0053, 0.5053)  2 Cr 2.75, 2 Al 2.75, 2 Sb 2.80
Al (0.1303, 0.9947, 0.4947)  2 Cr 2.75, 2 Al 2.75, 2 Sb 2.80
Al (0.3750, 0.4947, 0.0053)  2 Cr 2.75, 2 Al 2.75, 2 Sb 2.80
Al (0.8750, 0.5053, 0.9947)  2 Cr 2.75, 2 Al 2.75, 2 Sb 2.80
Cr (0.5000, 0.0000, 0.0000)  4 Al 2.75, 2 Sb 2.75
Cr (0.2500, 0.5000, 0.5000)  4 Al 2.75, 2 Sb 2.75